# GGA-PBE NdCu3Sb3, relaxed
data_NdCu3Sb3
_chemical_formula_sum 'Nd2 Cu6 Sb6'
_cell_length_a 7.0677
_cell_length_b 7.0677
_cell_length_c 7.0677
_cell_angle_alpha 90.00
_cell_angle_beta 90.00
_cell_angle_gamma 90.00
_space_group_name_H-M_alt 'P 1'
_space_group_IT_number 1
loop_
_space_group_symop_operation_xyz
'x,y,z'
loop_
_atom_site_label
_atom_site_fract_x
_atom_site_fract_y
_atom_site_fract_z
Sb1 0.0000 0.7500 0.5000
Cu1 0.2500 0.0000 0.5000
Sb2 0.5000 0.0000 0.7500
Cu2 0.7500 0.0000 0.5000
Cu3 0.5000 0.2500 0.0000
Nd1 0.0000 0.0000 0.0000
Sb3 0.7500 0.5000 0.0000
Sb4 0.5000 0.0000 0.2500
Cu4 0.5000 0.7500 0.0000
Cu5 0.0000 0.5000 0.7500
Sb5 0.0000 0.2500 0.5000
Nd2 0.5000 0.5000 0.5000
Cu6 0.0000 0.5000 0.2500
Sb6 0.2500 0.5000 0.0000
# Total magnetic moment = 0.00 μB per formula unit
# Formation energy without anion corrections = 32 meV per atom